Entry a
Computed, not measured: a relaxed structure of NpTlSb at the GGA-PBE level of DFT.

a = 3.5640 Å, b = 3.5640 Å, c = 44.1190 Å
α = 90.00°, β = 90.00°, γ = 120.00°
Space group R-3m (No. 166, hexagonal axes)
Asymmetric unit:
Np 0.0000 0.0000 0.1520 (multiplicity 6)
Tl 0.0000 0.0000 0.3679 (multiplicity 6)
Sb 0.0000 0.0000 0.2372 (multiplicity 6)

Values from the calculation:
Volume in Å³/atom: 26.96
M_tot in μB/f.u.: 0.0
D(E_F) in states/eV per cell: 22.67
ρ in g/cm3: 11.56

Entry b
Computed, not measured: a relaxed structure of NpTlSb at the GGA-PBE level of DFT.

a = 3.843 Å, b = 3.843 Å, c = 11.025 Å
α = 90.00°, β = 90.00°, γ = 90.00°
Space group I4mm (No. 107)
Asymmetric unit:
Np 0.000 0.000 0.000 (multiplicity 2)
Tl 0.000 0.000 0.315 (multiplicity 2)
Sb 0.000 0.000 0.661 (multiplicity 2)

Values from the calculation:
Volume in Å³/atom: 27.13
M_tot in μB/f.u.: 4.9
D(E_F) in states/eV per cell: 17.23
ρ in g/cm3: 11.49

Least stable of them? entry b.

Entry a
Computed, not measured: a relaxed structure of TmNpSb2 at the GGA-PBE level of DFT.

a = 5.233 Å, b = 5.233 Å, c = 3.835 Å
α = 90.00°, β = 90.00°, γ = 90.00°
Space group P4/mmm (No. 123)
Asymmetric unit:
Tm 0.000 0.000 0.000 (multiplicity 1)
Np 0.500 0.500 0.000 (multiplicity 1)
Sb 0.000 0.500 0.500 (multiplicity 2)

Values from the calculation:
Volume in Å³/atom: 26.25
M_tot in μB/f.u.: 4.2
D(E_F) in states/eV per cell: 12.29
ρ in g/cm3: 10.27

Entry b
Computed, not measured: a relaxed structure of TmNpSb2 at the GGA-PBE level of DFT.

a = 4.3593 Å, b = 4.3593 Å, c = 21.4765 Å
α = 90.00°, β = 90.00°, γ = 120.00°
Space group R-3m (No. 166, hexagonal axes)
Asymmetric unit:
Tm 0.0000 0.0000 0.0000 (multiplicity 3)
Np 0.0000 0.0000 0.5000 (multiplicity 3)
Sb 0.0000 0.0000 0.2514 (multiplicity 6)

Values from the calculation:
Volume in Å³/atom: 29.45
M_tot in μB/f.u.: 3.9
D(E_F) in states/eV per cell: 32.44
ρ in g/cm3: 9.15

Least stable of them? entry a.